Record 1
# Cu2AuBr (GGA-PBE, relaxed)
data_Cu2AuBr
_chemical_formula_sum 'Cu2 Au1 Br1'
_cell_length_a 3.8888
_cell_length_b 3.5475
_cell_length_c 6.0017
_cell_angle_alpha 90.00
_cell_angle_beta 90.88
_cell_angle_gamma 90.00
_symmetry_space_group_name_H-M 'P 1 m 1'
_symmetry_Int_Tables_number 6
_symmetry_space_group_name_Hall 'P -2y'
loop_
_atom_site_label
_atom_site_type_symbol
_atom_site_fract_x
_atom_site_fract_y
_atom_site_fract_z
Cu1 Cu 0.0000 0.0000 0.0000
Cu2 Cu 0.0019 0.5000 0.3145
Au1 Au 0.4990 0.0000 0.2820
Br1 Br 0.9119 0.5000 0.7270
# Fermi-level density of states = 1.9 states/eV per cell
# distance to the lowest polymorph of the same formula = 25.6 meV per atom
# energy relative to the elements, uncorrected = 50.1 meV per atom
# total energy = -3.236 eV/atom



Record 2
# Na2PrTmO4 (GGA-PBE, relaxed)
data_Na2PrTmO4
_chemical_formula_sum 'Na2 Pr1 Tm1 O4'
_cell_length_a 5.9682
_cell_length_b 3.4937
_cell_length_c 6.0669
_cell_angle_alpha 90.00
_cell_angle_beta 109.89
_cell_angle_gamma 90.00
_symmetry_space_group_name_H-M 'P 1 2/m 1'
_symmetry_Int_Tables_number 10
_symmetry_space_group_name_Hall '-P 2y'
loop_
_atom_site_label
_atom_site_type_symbol
_atom_site_fract_x
_atom_site_fract_y
_atom_site_fract_z
Na1 Na 0.0000 0.0000 0.0000
Na2 Na 0.0000 0.5000 0.5000
Pr1 Pr 0.5000 0.0000 0.5000
Tm1 Tm 0.5000 0.5000 0.0000
O1 O 0.2855 0.5000 0.2453
O2 O 0.2891 0.0000 0.7759
# Fermi-level density of states = 0.0 states/eV per cell
# energy relative to the elements, uncorrected = -2694.3 meV per atom
# total energy = -6.660 eV/atom



Record 3
# CuAsOsBr2 (GGA-PBE, relaxed)
data_CuAsOsBr2
_chemical_formula_sum 'Cu1 As1 Os1 Br2'
_cell_length_a 5.2669
_cell_length_b 5.2669
_cell_length_c 4.6348
_cell_angle_alpha 90.00
_cell_angle_beta 90.00
_cell_angle_gamma 90.00
_symmetry_space_group_name_H-M 'P 4/m m m'
_symmetry_Int_Tables_number 123
_symmetry_space_group_name_Hall '-P 4 2'
loop_
_atom_site_label
_atom_site_type_symbol
_atom_site_fract_x
_atom_site_fract_y
_atom_site_fract_z
Cu1 Cu 0.0000 0.0000 0.0000
As1 As 0.5000 0.5000 0.0000
Os1 Os 0.5000 0.5000 0.5000
Br1 Br 0.0000 0.5000 0.5000
# Fermi-level density of states = 5.3 states/eV per cell
# distance to the lowest polymorph of the same formula = 0.0 meV per atom
# energy relative to the elements, uncorrected = 830.1 meV per atom
# total energy = -3.834 eV/atom



Record 4
# TaNiPdRu (GGA-PBE, relaxed)
data_TaNiPdRu
_chemical_formula_sum 'Ta1 Ni1 Pd1 Ru1'
_cell_length_a 3.7699
_cell_length_b 3.7835
_cell_length_c 4.0185
_cell_angle_alpha 90.00
_cell_angle_beta 90.00
_cell_angle_gamma 90.00
_symmetry_space_group_name_H-M 'P m m m'
_symmetry_Int_Tables_number 47
_symmetry_space_group_name_Hall '-P 2 2'
loop_
_atom_site_label
_atom_site_type_symbol
_atom_site_fract_x
_atom_site_fract_y
_atom_site_fract_z
Ta1 Ta 0.0000 0.0000 0.0000
Ni1 Ni 0.0000 0.5000 0.5000
Pd1 Pd 0.5000 0.0000 0.5000
Ru1 Ru 0.5000 0.5000 0.0000
# Fermi-level density of states = 3.9 states/eV per cell
# distance to the lowest polymorph of the same formula = 0.0 meV per atom
# total energy = -8.350 eV/atom
# calculated formation energy = -0.32 eV/atom



Record 5
# LaY3Al8 (GGA-PBE, relaxed)
data_LaY3Al8
_chemical_formula_sum 'La3 Y9 Al24'
_cell_length_a 5.6064
_cell_length_b 5.6064
_cell_length_c 27.6797
_cell_angle_alpha 90.00
_cell_angle_beta 90.00
_cell_angle_gamma 120.00
_symmetry_space_group_name_H-M 'R 3 m'
_symmetry_Int_Tables_number 160
_symmetry_space_group_name_Hall 'R 3 -2"'
loop_
_atom_site_label
_atom_site_type_symbol
_atom_site_fract_x
_atom_site_fract_y
_atom_site_fract_z
La1 La 0.0000 0.0000 0.0000
Y1 Y 0.0000 0.0000 0.3754
Y2 Y 0.0000 0.0000 0.4994
Y3 Y 0.0000 0.0000 0.8751
Al1 Al 0.0000 0.0000 0.1870
Al2 Al 0.0000 0.0000 0.6880
Al3 Al 0.0009 0.5005 0.4389
Al4 Al 0.1671 0.3342 0.2691
# Fermi-level density of states = 29.1 states/eV per cell
# distance to the lowest polymorph of the same formula = 0.0 meV per atom
# total energy = -5.034 eV/atom
# calculated formation energy = -0.51 eV/atom



Record 6
# In3FeAg (GGA-PBE, relaxed)
data_In3FeAg
_chemical_formula_sum 'In3 Fe1 Ag1'
_cell_length_a 4.9710
_cell_length_b 4.9710
_cell_length_c 4.9710
_cell_angle_alpha 90.00
_cell_angle_beta 90.00
_cell_angle_gamma 90.00
_symmetry_space_group_name_H-M 'P m -3 m'
_symmetry_Int_Tables_number 221
_symmetry_space_group_name_Hall '-P 4 2 3'
loop_
_atom_site_label
_atom_site_type_symbol
_atom_site_fract_x
_atom_site_fract_y
_atom_site_fract_z
In1 In 0.0000 0.0000 0.5000
Fe1 Fe 0.0000 0.0000 0.0000
Ag1 Ag 0.5000 0.5000 0.5000
# Fermi-level density of states = 3.8 states/eV per cell
# distance to the lowest polymorph of the same formula = 0.0 meV per atom
# total energy = -3.572 eV/atom
# calculated formation energy = 0.33 eV/atom



Record 7
# Mn2FeAu (GGA-PBE, relaxed)
data_Mn2FeAu
_chemical_formula_sum 'Mn2 Fe1 Au1'
_cell_length_a 2.6832
_cell_length_b 2.6832
_cell_length_c 7.5142
_cell_angle_alpha 90.00
_cell_angle_beta 90.00
_cell_angle_gamma 90.00
_symmetry_space_group_name_H-M 'P 4 m m'
_symmetry_Int_Tables_number 99
_symmetry_space_group_name_Hall 'P 4 -2'
loop_
_atom_site_label
_atom_site_type_symbol
_atom_site_fract_x
_atom_site_fract_y
_atom_site_fract_z
Mn1 Mn 0.0000 0.0000 0.0000
Mn2 Mn 0.5000 0.5000 0.2221
Fe1 Fe 0.5000 0.5000 0.7803
Au1 Au 0.0000 0.0000 0.5050
# Fermi-level density of states = 3.8 states/eV per cell
# distance to the lowest polymorph of the same formula = 18.3 meV per atom
# total energy = -7.361 eV/atom
# calculated formation energy = 0.16 eV/atom



Record 8
# YBe2Pb (GGA-PBE, relaxed)
data_YBe2Pb
_chemical_formula_sum 'Y2 Be4 Pb2'
_cell_length_a 4.4111
_cell_length_b 4.4111
_cell_length_c 7.9612
_cell_angle_alpha 90.00
_cell_angle_beta 90.00
_cell_angle_gamma 90.00
_symmetry_space_group_name_H-M 'I 4/m m m'
_symmetry_Int_Tables_number 139
_symmetry_space_group_name_Hall '-I 4 2'
loop_
_atom_site_label
_atom_site_type_symbol
_atom_site_fract_x
_atom_site_fract_y
_atom_site_fract_z
Y1 Y 0.0000 0.0000 0.0000
Be1 Be 0.0000 0.5000 0.2500
Pb1 Pb 0.0000 0.0000 0.5000
# Fermi-level density of states = 4.2 states/eV per cell
# total energy = -4.060 eV/atom
# calculated formation energy = 0.35 eV/atom



Record 9
# K2NaLi (GGA-PBE, relaxed)
data_K2NaLi
_chemical_formula_sum 'K8 Na4 Li4'
_cell_length_a 9.2339
_cell_length_b 9.2339
_cell_length_c 9.2339
_cell_angle_alpha 90.00
_cell_angle_beta 90.00
_cell_angle_gamma 90.00
_symmetry_space_group_name_H-M 'F m -3 m'
_symmetry_Int_Tables_number 225
_symmetry_space_group_name_Hall '-F 4 2 3'
loop_
_atom_site_label
_atom_site_type_symbol
_atom_site_fract_x
_atom_site_fract_y
_atom_site_fract_z
K1 K 0.2500 0.2500 0.2500
Na1 Na 0.0000 0.0000 0.0000
Li1 Li 0.0000 0.0000 0.5000
# Fermi-level density of states = 10.4 states/eV per cell
# distance to the lowest polymorph of the same formula = 4.9 meV per atom
# total energy = -1.254 eV/atom
# calculated formation energy = 0.10 eV/atom



Record 10
# TbTmCBr (GGA-PBE, relaxed)
data_TbTmCBr
_chemical_formula_sum 'Tb3 Tm3 C3 Br3'
_cell_length_a 3.6602
_cell_length_b 3.6602
_cell_length_c 21.2547
_cell_angle_alpha 90.00
_cell_angle_beta 90.00
_cell_angle_gamma 120.00
_symmetry_space_group_name_H-M 'R 3 m'
_symmetry_Int_Tables_number 160
_symmetry_space_group_name_Hall 'R 3 -2"'
loop_
_atom_site_label
_atom_site_type_symbol
_atom_site_fract_x
_atom_site_fract_y
_atom_site_fract_z
Tb1 Tb 0.0000 0.0000 0.0000
Tm1 Tm 0.0000 0.0000 0.7860
C1 C 0.0000 0.0000 0.3975
Br1 Br 0.0000 0.0000 0.2240
# Fermi-level density of states = 5.6 states/eV per cell
# energy relative to the elements, uncorrected = -949.6 meV per atom
# total energy = -5.949 eV/atom



Record 11
# RbCa2Ag9 (GGA-PBE, relaxed)
data_RbCa2Ag9
_chemical_formula_sum 'Rb3 Ca6 Ag27'
_cell_length_a 5.8479
_cell_length_b 5.8479
_cell_length_c 27.8507
_cell_angle_alpha 90.00
_cell_angle_beta 90.00
_cell_angle_gamma 120.00
_symmetry_space_group_name_H-M 'R -3 m'
_symmetry_Int_Tables_number 166
_symmetry_space_group_name_Hall '-R 3 2"'
loop_
_atom_site_label
_atom_site_type_symbol
_atom_site_fract_x
_atom_site_fract_y
_atom_site_fract_z
Rb1 Rb 0.0000 0.0000 0.0000
Ca1 Ca 0.0000 0.0000 0.1425
Ag1 Ag 0.0000 0.0000 0.3333
Ag2 Ag 0.0000 0.0000 0.5000
Ag3 Ag 0.0043 0.5021 0.9144
# Fermi-level density of states = 19.8 states/eV per cell
# total energy = -2.663 eV/atom
# calculated formation energy = -0.11 eV/atom



Record 12
# NaPr2TmTe4 (GGA-PBE, relaxed)
data_NaPr2TmTe4
_chemical_formula_sum 'Na1 Pr2 Tm1 Te4'
_cell_length_a 7.7257
_cell_length_b 4.4290
_cell_length_c 7.7844
_cell_angle_alpha 90.00
_cell_angle_beta 108.84
_cell_angle_gamma 90.00
_symmetry_space_group_name_H-M 'P 1 2/m 1'
_symmetry_Int_Tables_number 10
_symmetry_space_group_name_Hall '-P 2y'
loop_
_atom_site_label
_atom_site_type_symbol
_atom_site_fract_x
_atom_site_fract_y
_atom_site_fract_z
Na1 Na 0.0000 0.0000 0.0000
Pr1 Pr 0.0000 0.5000 0.5000
Pr2 Pr 0.5000 0.0000 0.5000
Tm1 Tm 0.5000 0.5000 0.0000
Te1 Te 0.2516 0.5000 0.2388
Te2 Te 0.2586 0.0000 0.7664
# Fermi-level density of states = 3.3 states/eV per cell
# energy relative to the elements, uncorrected = -1336.3 meV per atom
# total energy = -4.826 eV/atom